Below is a geometry-optimized V2Bi4O11 structure, with properties calculated at the PBE with a Hubbard U level.

It has space group Cm (No. 8), with a = 5.6048 Å, b = 15.4906 Å, c = 5.5799 Å, α = 90.00°, β = 90.50° and γ = 90.00°. The distinct sites, in fractional coordinates, are V at (0.0000, 0.0000, 0.0000), V at (0.0353, 0.5000, 0.5252), Bi at (0.0390, 0.3285, 0.9647), Bi at (0.1074, 0.1656, 0.4454), O at (0.0005, 0.3984, 0.3861), O at (0.1434, 0.1007, 0.0264), O at (0.2585, 0.5000, 0.7719), O at (0.2701, 0.0000, 0.6713), O at (0.3137, 0.2507, 0.7081), O at (0.3228, 0.2558, 0.2089) and O at (0.3551, 0.5000, 0.2657).

The calculation puts the calculated density at 7.636 Mg/m³. The calculation puts the magnetization at 0.000 Bohr magnetons per cell. For the energy above the most stable polymorph in this dataset, the calculation gives 38.9 meV/atom. The total energy is -221.45 eV/cell.